(1)
Entry from the Alexandria database: crystalline LuZrAlCu at its relaxed geometry (PBE).

Values from the calculation:
Its total energy is -5.46 eV per atom. As for the density: 7.5 g/cm³. The magnetization comes out at 0.0 μB per cell. The value obtained for the formation energy is -22.3 kJ per mole of atoms. Its crystal system is cubic.

a b c (Å): 6.818 6.818 6.818
angles (deg): 90.00 90.00 90.00
Space group F-43m (No. 216)
Unique sites:
Lu 0.000 0.000 0.000 x4
Zr 0.000 0.000 0.500 x4
Al 0.250 0.250 0.750 x4
Cu 0.250 0.250 0.250 x4


(2)
Entry from the Alexandria database: crystalline MgAl6Cu4 at its relaxed geometry (PBE).

Values from the calculation:
Its total energy is -3.78 eV per atom. As for the density: 4.1 g/cm³. The magnetization comes out at 0.0 μB per cell. The value obtained for the formation energy is -10.0 kJ per mole of atoms. Its crystal system is tetragonal.

a b c (Å): 6.263 6.263 9.084
angles (deg): 90.00 90.00 90.00
Space group I-42m (No. 121)
Unique sites:
Mg 0.000 0.000 0.000 x2
Al 0.000 0.500 0.000 x4
Al 0.179 0.179 0.290 x8
Cu 0.173 0.173 0.572 x8


(3)
Entry from the Alexandria database: crystalline MgAl2Cu at its relaxed geometry (PBE).

Values from the calculation:
Its total energy is -3.32 eV per atom. As for the density: 3.6 g/cm³. The magnetization comes out at 0.0 μB per cell. The value obtained for the formation energy is -2.3 kJ per mole of atoms. Its crystal system is orthorhombic.

a b c (Å): 5.613 5.774 8.005
angles (deg): 90.00 90.00 90.00
Space group F222 (No. 22)
Unique sites:
Mg 0.000 0.000 0.000 x4
Al 0.000 0.000 0.500 x4
Al 0.250 0.250 0.250 x4
Cu 0.250 0.250 0.750 x4


(4)
Entry from the Alexandria database: crystalline MgAl2Cu at its relaxed geometry (PBE).

Values from the calculation:
Its total energy is -3.34 eV per atom. As for the density: 3.5 g/cm³. The magnetization comes out at 0.0 μB per cell. The value obtained for the formation energy is -4.7 kJ per mole of atoms. Its crystal system is trigonal.

a b c (Å): 2.9866 2.9866 25.7842
angles (deg): 90.00 90.00 120.00
Space group R-3m (No. 166, hexagonal axes)
Unique sites:
Mg 0.0000 0.0000 0.0000 x3
Al 0.0000 0.0000 0.2410 x6
Cu 0.0000 0.0000 0.5000 x3